(1)
TbPm6Sm8: relaxed, PBE-GGA.

Summary:
The calculation puts the raw total energy at -0.1694 Ha/atom. As for the crystal system: trigonal. The value obtained for the energy of formation from the pure elements is 1.74 eV/f.u. The density of states at the Fermi level is 1.419 states/eV per atom. The value obtained for the total magnetization is 0.000 μB per atom.

Cell and atoms, written as extended XYZ:
```
15
Lattice="9.229 0.000 0.000 4.614 7.992 0.000 4.614 2.664 6.984" Properties=species:S:1:pos:R:3 pbc="T T T"
Tb 0.000 0.000 0.000
Pm 12.446 9.518 6.118
Pm 2.595 2.217 0.866
Pm 5.237 4.637 0.866
Pm 13.220 6.020 6.118
Pm 15.863 8.439 6.118
Pm 6.011 1.139 0.866
Sm 6.295 3.791 4.047
Sm 9.093 2.019 2.937
Sm 6.430 7.100 2.937
Sm 9.229 5.328 1.873
Sm 9.229 5.328 5.111
Sm 12.027 3.556 4.047
Sm 9.364 8.638 4.047
Sm 12.162 6.866 2.937
```

***

(2)
TbPm6Sm3: relaxed, PBE-GGA.

Summary:
The value obtained for the distance to the lowest polymorph of the same formula is 0 meV per atom. The calculation puts the raw total energy at -0.1687 Ha/atom. As for the crystal system: orthorhombic. The value obtained for the energy of formation from the pure elements is 1.39 eV/f.u. The density of states at the Fermi level is 1.330 states/eV per atom. The value obtained for the total magnetization is 0.000 μB per atom.

Cell and atoms, written as extended XYZ:
```
20
Lattice="6.455 0.000 0.000 0.000 10.961 -1.711 0.000 -4.114 10.302" Properties=species:S:1:pos:R:3 pbc="T T T"
Tb 0.740 -1.213 7.990
Tb 3.968 8.059 0.601
Pm 0.358 5.213 5.253
Pm 3.585 3.957 6.254
Pm 2.388 1.884 8.812
Pm 5.616 8.170 3.802
Pm 2.346 10.430 -1.288
Pm 4.197 0.071 6.967
Pm 0.969 6.776 1.624
Pm 5.574 -3.583 9.879
Pm 2.388 -1.323 4.789
Pm 5.616 4.963 -0.221
Pm 0.358 2.890 2.338
Pm 3.585 1.634 3.338
Sm 2.984 7.411 5.695
Sm 6.211 3.898 8.495
Sm 0.531 1.683 5.683
Sm 3.759 5.164 2.908
Sm 6.211 -0.565 2.896
Sm 2.984 2.949 0.096
```

***

(3)
Tb3Pm7Sm: relaxed, PBE-GGA.

Summary:
The value obtained for the distance to the lowest polymorph of the same formula is 44 meV per atom. The calculation puts the raw total energy at -0.1649 Ha/atom. As for the crystal system: monoclinic. The value obtained for the energy of formation from the pure elements is 2.50 eV/f.u. The density of states at the Fermi level is 1.378 states/eV per atom. The value obtained for the total magnetization is 0.000 μB per atom.

Cell and atoms, written as extended XYZ:
```
11
Lattice="-6.266 3.031 -3.484 -1.684 -5.975 -4.695 -4.187 -2.682 4.104" Properties=species:S:1:pos:R:3 pbc="T T T"
Tb -2.463 -4.444 -4.489
Tb -2.094 -1.341 2.052
Tb -5.487 1.500 -3.689
Pm -5.179 -2.809 1.297
Pm -8.260 -5.760 -3.308
Pm -2.281 -3.004 -1.188
Pm -9.856 -2.623 -2.886
Pm -3.975 -1.472 -4.089
Pm -3.877 0.134 -0.766
Pm -6.958 -2.817 -5.372
Sm -6.068 -2.813 -2.037
```

***

(4)
Tb6PmSm5: relaxed, PBE-GGA.

Summary:
The calculation puts the raw total energy at -0.1713 Ha/atom. As for the crystal system: orthorhombic. The value obtained for the energy of formation from the pure elements is 0.18 eV/f.u. The density of states at the Fermi level is 1.397 states/eV per atom. The value obtained for the total magnetization is 0.000 μB per atom.

Cell and atoms, written as extended XYZ:
```
12
Lattice="4.881 0.019 -1.423 -1.390 8.924 -4.648 0.118 -0.828 9.474" Properties=species:S:1:pos:R:3 pbc="T T T"
Tb 3.335 4.667 2.418
Tb 4.030 0.209 4.741
Tb 1.399 6.700 -4.197
Tb 2.092 2.244 -1.875
Tb -0.421 7.907 -1.339
Tb 0.274 3.448 0.984
Sm 3.062 1.225 1.436
Sm 1.242 2.429 4.291
Sm -0.695 4.462 -2.324
Sm 2.367 5.687 -0.889
Sm 0.547 6.890 1.966
Pm 0.000 0.000 0.000
```

***

(5)
Tb4PmSm5: relaxed, PBE-GGA.

Summary:
The value obtained for the distance to the lowest polymorph of the same formula is 0 meV per atom. The calculation puts the raw total energy at -0.1698 Ha/atom. As for the crystal system: triclinic. The value obtained for the energy of formation from the pure elements is 0.65 eV/f.u. The density of states at the Fermi level is 1.585 states/eV per atom. The value obtained for the total magnetization is 0.000 μB per atom.

Cell and atoms, written as extended XYZ:
```
10
Lattice="3.469 0.530 -0.752 0.639 6.659 -1.658 2.230 0.576 14.119" Properties=species:S:1:pos:R:3 pbc="T T T"
Tb 3.809 5.963 1.039
Tb 5.614 5.806 9.450
Tb 2.529 1.802 10.669
Tb 0.724 1.959 2.258
Pm 1.735 0.265 -0.376
Sm 2.721 4.291 4.135
Sm 1.622 1.139 5.518
Sm 4.716 6.625 6.191
Sm 2.054 3.594 -1.205
Sm 3.617 3.473 7.574
```

***

(6)
Tb2Pm4Sm5: relaxed, PBE-GGA.

Summary:
The value obtained for the distance to the lowest polymorph of the same formula is 0 meV per atom. The calculation puts the raw total energy at -0.1681 Ha/atom. As for the crystal system: monoclinic. The value obtained for the energy of formation from the pure elements is 1.55 eV/f.u. The density of states at the Fermi level is 1.648 states/eV per atom. The value obtained for the total magnetization is 0.000 μB per atom.

Cell and atoms, written as extended XYZ:
```
11
Lattice="3.459 0.000 -0.527 -0.214 8.766 -1.404 0.093 0.472 12.226" Properties=species:S:1:pos:R:3 pbc="T T T"
Tb 3.166 2.711 9.159
Tb 0.173 6.527 1.136
Pm 2.275 4.292 3.317
Pm 0.088 3.202 0.580
Pm 1.063 4.947 6.977
Pm 3.250 6.037 9.715
Sm 0.489 1.143 3.206
Sm 2.850 8.096 7.088
Sm 0.665 7.443 4.364
Sm 1.730 0.000 -0.264
Sm 2.674 1.796 5.931
```

***

(7)
Tb7Pm3Sm2: relaxed, PBE-GGA.

Summary:
The value obtained for the distance to the lowest polymorph of the same formula is 4 meV per atom. The calculation puts the raw total energy at -0.1688 Ha/atom. As for the crystal system: monoclinic. The value obtained for the energy of formation from the pure elements is 0.99 eV/f.u. The density of states at the Fermi level is 1.202 states/eV per atom. The value obtained for the total magnetization is 0.000 μB per atom.

Cell and atoms, written as extended XYZ:
```
12
Lattice="3.596 0.000 0.000 0.000 5.858 -0.314 0.000 -3.793 19.113" Properties=species:S:1:pos:R:3 pbc="T T T"
Tb 1.798 2.462 8.616
Tb 1.798 -0.397 10.183
Tb 0.000 2.126 2.593
Tb 0.000 0.000 0.000
Tb 0.000 -0.061 16.206
Tb 1.798 -3.044 15.772
Tb 1.798 5.109 3.028
Pm 1.798 2.929 -0.157
Pm 0.000 -0.541 6.980
Pm 0.000 2.606 11.819
Sm 1.798 2.303 5.425
Sm 1.798 -0.238 13.374
```

***

(8)
Tb4Pm10Sm: relaxed, PBE-GGA.

Summary:
The calculation puts the raw total energy at -0.1473 Ha/atom. As for the crystal system: tetragonal. The value obtained for the energy of formation from the pure elements is 10.62 eV/f.u. The density of states at the Fermi level is 1.320 states/eV per atom. The value obtained for the total magnetization is 0.000 μB per atom.

Cell and atoms, written as extended XYZ:
```
15
Lattice="-6.025 -4.902 -0.606 -1.982 -2.648 -8.969 2.425 -9.233 0.498" Properties=species:S:1:pos:R:3 pbc="T T T"
Tb -3.026 -7.772 -7.223
Tb -4.067 -12.901 -5.468
Tb -1.516 -3.882 -3.609
Tb -2.557 -9.011 -1.853
Pm -1.285 -7.166 -4.387
Pm -2.332 -12.280 -2.644
Pm 0.231 -3.288 -0.788
Pm -2.807 -11.048 -7.986
Pm -6.258 -6.949 -6.734
Pm -3.251 -4.503 -6.432
Pm -4.298 -9.617 -4.690
Pm 0.675 -9.834 -2.342
Pm -2.776 -5.735 -1.090
Pm -5.814 -13.495 -8.289
Sm 0.000 0.000 0.000
```

***

(9)
Tb16Pm7Sm6: relaxed, PBE-GGA.

Summary:
The calculation puts the raw total energy at -0.1631 Ha/atom. As for the crystal system: cubic. The value obtained for the energy of formation from the pure elements is 6.93 eV/f.u. The density of states at the Fermi level is 1.886 states/eV per atom. The value obtained for the total magnetization is 0.000 μB per atom.

Cell and atoms, written as extended XYZ:
```
29
Lattice="-8.158 -6.508 4.212 2.326 -10.500 3.314 -0.046 -2.584 10.953" Properties=species:S:1:pos:R:3 pbc="T T T"
Tb -5.107 -15.829 10.753
Tb -5.129 -17.096 16.125
Tb -6.270 -11.946 14.500
Tb -1.128 -13.904 14.059
Tb -0.749 -2.495 2.354
Tb -0.771 -3.763 7.726
Tb 0.392 -7.646 3.979
Tb -4.750 -5.687 4.420
Tb -3.799 -11.194 5.413
Tb -3.827 -12.755 12.031
Tb -5.232 -6.410 10.028
Tb 1.103 -8.823 9.486
Tb -2.051 -6.836 6.448
Tb -2.079 -8.397 13.066
Tb -0.646 -13.181 8.451
Tb -6.980 -10.768 8.993
Pm 0.000 0.000 0.000
Pm -4.102 -4.546 7.582
Pm 1.163 -5.250 1.657
Pm 1.140 -6.542 7.133
Pm -4.079 -3.254 2.106
Pm -0.023 -1.292 5.476
Pm -2.916 -8.504 3.763
Sm -0.497 -10.122 6.490
Sm -5.381 -9.469 11.988
Sm -5.360 -8.270 6.907
Sm -0.518 -11.321 11.572
Sm -4.281 -13.142 8.445
Sm -1.597 -6.450 10.034
```

***

(10)
Tb2Pm8Sm: relaxed, PBE-GGA.

Summary:
The value obtained for the distance to the lowest polymorph of the same formula is 0 meV per atom. The calculation puts the raw total energy at -0.1731 Ha/atom. As for the crystal system: monoclinic. The value obtained for the energy of formation from the pure elements is 0.16 eV/f.u. The density of states at the Fermi level is 1.507 states/eV per atom. The value obtained for the total magnetization is 0.000 μB per atom.

Cell and atoms, written as extended XYZ:
```
11
Lattice="4.962 0.000 -1.321 -0.533 7.859 -2.001 -0.100 -0.086 9.600" Properties=species:S:1:pos:R:3 pbc="T T T"
Tb 0.743 4.955 2.790
Tb 3.586 2.818 3.487
Pm 2.675 3.559 0.068
Pm 1.466 0.654 5.504
Pm 0.555 1.423 2.084
Pm -0.169 5.708 -0.634
Pm 3.774 6.350 4.194
Pm 2.863 7.119 0.774
Pm 1.654 4.213 6.210
Pm 4.498 2.065 6.912
Sm 2.481 0.000 -0.661
```

***

(11)
TbPm8Sm2: relaxed, PBE-GGA.

Summary:
The value obtained for the distance to the lowest polymorph of the same formula is 0 meV per atom. The calculation puts the raw total energy at -0.1735 Ha/atom. As for the crystal system: monoclinic. The value obtained for the energy of formation from the pure elements is 0.15 eV/f.u. The density of states at the Fermi level is 1.510 states/eV per atom. The value obtained for the total magnetization is 0.000 μB per atom.

Cell and atoms, written as extended XYZ:
```
11
Lattice="4.971 0.000 -1.324 -0.534 7.873 -2.004 -0.102 -0.085 9.613" Properties=species:S:1:pos:R:3 pbc="T T T"
Tb 2.485 0.000 -0.662
Pm 2.676 3.553 0.055
Pm 1.470 0.659 5.519
Pm 0.552 1.406 2.073
Pm -0.172 5.725 -0.645
Pm 3.783 6.381 4.211
Pm 2.866 7.129 0.766
Pm 1.659 4.235 6.229
Pm 4.507 2.062 6.929
Sm 0.743 4.968 2.789
Sm 3.593 2.819 3.496
```

***

(12)
TbPm8Sm6: relaxed, PBE-GGA.

Summary:
The calculation puts the raw total energy at -0.1676 Ha/atom. As for the crystal system: trigonal. The value obtained for the energy of formation from the pure elements is 2.53 eV/f.u. The density of states at the Fermi level is 1.495 states/eV per atom. The value obtained for the total magnetization is 0.000 μB per atom.

Cell and atoms, written as extended XYZ:
```
15
Lattice="6.654 0.000 0.000 0.000 8.226 -4.749 0.000 0.000 9.499" Properties=species:S:1:pos:R:3 pbc="T T T"
Tb 3.327 0.000 0.000
Pm 5.566 0.245 2.541
Pm 5.566 5.903 3.691
Pm 5.566 2.078 8.016
Pm 1.088 7.981 2.208
Pm 1.088 2.323 1.058
Pm 1.088 6.148 -3.266
Pm 5.901 2.742 4.749
Pm 0.753 5.484 0.000
Sm 4.387 5.375 -2.281
Sm 4.387 7.514 1.046
Sm 4.387 3.563 1.235
Sm 2.267 2.851 7.030
Sm 2.267 0.712 3.704
Sm 2.267 4.663 3.514
```